(1)
An optimized crystal structure of DySc3Cu2. Source: Alexandria, functional PBE-GGA.

a b c (Å): 3.4540 9.0509 8.2626
angles (deg): 90.00 90.00 90.00
Closest atoms and distances in Å follow each position.
Atoms (fractional coordinates):
Dy (0.0000, 0.0825, 0.0000)  4 Cu 2.89-2.92
Dy (0.0000, 0.9175, 0.5000)  4 Cu 2.89-2.92
Sc (0.0000, 0.2952, 0.6457)  3 Cu 2.66-2.68
Sc (0.0000, 0.7048, 0.1457)  3 Cu 2.66-2.68
Sc (0.5000, 0.2180, 0.3246)  3 Cu 2.62-2.86
Sc (0.5000, 0.4279, 0.9728)  4 Cu 2.82-2.90
Sc (0.5000, 0.5721, 0.4728)  4 Cu 2.82-2.90
Sc (0.5000, 0.7820, 0.8246)  3 Cu 2.62-2.86
Cu (0.0000, 0.4261, 0.2552)  7 Sc 2.62-2.90
Cu (0.0000, 0.5739, 0.7552)  7 Sc 2.62-2.90
Cu (0.5000, 0.0817, 0.7158)  3 Sc 2.66-2.86, 4 Dy 2.89-2.92
Cu (0.5000, 0.9183, 0.2158)  3 Sc 2.66-2.86, 4 Dy 2.89-2.92

Calculated values
calculated volume = 21.53 A^3/atom
energy = -5.425 eV per atom
energy relative to the elements = -127 meV per atom

(2)
An optimized crystal structure of LiPmMg4. Source: Alexandria, functional PBE-GGA.

a b c (Å): 9.1506 9.1506 7.4667
angles (deg): 90.00 90.00 151.95
Closest atoms and distances in Å follow each position.
Atoms (fractional coordinates):
Li (0.2320, 0.7680, 0.7500)  7 Mg 2.70-2.83
Li (0.7680, 0.2320, 0.2500)  7 Mg 2.70-2.83
Pm (0.1155, 0.8845, 0.2500)  9 Mg 3.35-3.55, 2 Li 3.50
Pm (0.8845, 0.1155, 0.7500)  9 Mg 3.35-3.55, 2 Li 3.50
Mg (0.0755, 0.9245, 0.7500)  1 Li 2.78
Mg (0.3184, 0.6816, 0.0481)  3 Li 2.70-2.83, 1 Mg 3.02
Mg (0.3184, 0.6816, 0.4519)  3 Li 2.70-2.83, 1 Mg 3.02
Mg (0.5000, 0.5000, 0.0000)  6 Mg 3.19-3.24, 4 Pm 3.55
Mg (0.5000, 0.5000, 0.5000)  6 Mg 3.19-3.24, 4 Pm 3.55
Mg (0.6816, 0.3184, 0.5481)  3 Li 2.70-2.83, 1 Mg 3.02
Mg (0.6816, 0.3184, 0.9519)  3 Li 2.70-2.83, 1 Mg 3.02
Mg (0.9245, 0.0755, 0.2500)  1 Li 2.78

Calculated values
calculated volume = 24.50 A^3/atom
energy = -2.185 eV per atom
excess energy over the best structure of this formula in the dataset = 52.6 meV per atom
energy relative to the elements = -11 meV per atom

(3)
An optimized crystal structure of YTmSbO2. Source: Alexandria, functional PBE-GGA.

a b c (Å): 7.1741 7.1741 7.1741
angles (deg): 148.99 148.99 44.43
Closest atoms and distances in Å follow each position.
Atoms (fractional coordinates):
Y (0.0000, 0.0000, 0.0000)  4 O 2.24
Tm (0.6669, 0.6669, 0.0000)  4 O 2.19
Sb (0.3335, 0.3335, 0.0000)  4 Tm 3.50, 4 Y 3.50, 8 O 3.80-3.87, 4 Sb 3.84
O (0.0869, 0.5869, 0.5000)  2 Tm 2.19, 2 Y 2.24
O (0.5869, 0.0869, 0.5000)  2 Tm 2.19, 2 Y 2.24

Calculated values
calculated volume = 19.55 A^3/atom
ΔE_f (raw) = -2.71 eV per atom
energy = -7.708 eV per atom

(4)
An optimized crystal structure of ZnAs2W. Source: Alexandria, functional PBE-GGA.

a b c (Å): 4.6204 4.7947 4.7947
angles (deg): 41.11 90.00 90.00
Closest atoms and distances in Å follow each position.
Atoms (fractional coordinates):
Zn (0.0000, 0.0000, 0.0000)  3 As 2.48-2.62
As (0.0000, 0.2759, 0.2759)  3 Zn 2.48-2.62, 2 W 2.57
As (0.5000, 0.6847, 0.6847)  3 W 2.54-2.58
W (0.5000, 0.4018, 0.4018)  5 As 2.54-2.58

Calculated values
calculated volume = 17.46 A^3/atom
energy = -5.665 eV per atom
energy relative to the elements = 217 meV per atom

(5)
An optimized crystal structure of La2OsBr. Source: Alexandria, functional PBE-GGA.

a b c (Å): 4.2816 4.3230 5.8843
angles (deg): 90.00 90.00 90.00
Closest atoms and distances in Å follow each position.
Atoms (fractional coordinates):
La (0.0000, 0.0000, 0.0000)  2 Os 2.94, 4 Br 3.04
La (0.5000, 0.5000, 0.5000)  2 Br 2.94, 4 Os 3.04
Os (0.0000, 0.0000, 0.5000)  6 La 2.94-3.04
Br (0.5000, 0.5000, 0.0000)  6 La 2.94-3.04

Calculated values
calculated volume = 27.23 A^3/atom
ΔE_f (raw) = -0.58 eV per atom
energy = -6.274 eV per atom
excess energy over the best structure of this formula in the dataset = 219.8 meV per atom

(6)
An optimized crystal structure of Be2HgAs. Source: Alexandria, functional PBE-GGA.

a b c (Å): 3.5058 3.6243 5.4852
angles (deg): 90.00 91.33 90.00
Closest atoms and distances in Å follow each position.
Atoms (fractional coordinates):
Be (0.0000, 0.0000, 0.0000)  2 As 2.22, 2 Be 2.24
Be (0.0949, 0.5000, 0.2327)  2 Be 2.24, 2 As 2.32
Hg (0.0102, 0.5000, 0.6899)  3 Be 2.49-2.53
As (0.5084, 0.0000, 0.2477)  4 Be 2.22-2.32

Calculated values
calculated volume = 17.42 A^3/atom
energy = -2.840 eV per atom
energy relative to the elements = 261 meV per atom

(7)
An optimized crystal structure of BaSbCl2. Source: Alexandria, functional PBE-GGA.

a b c (Å): 3.6933 3.6933 12.2563
angles (deg): 90.00 90.00 90.00
Closest atoms and distances in Å follow each position.
Atoms (fractional coordinates):
Ba (0.0000, 0.0000, 0.0000)  8 Cl 3.13
Sb (0.0000, 0.0000, 0.5000)  4 Sb 3.69
Cl (0.5000, 0.5000, 0.1406)  4 Ba 3.13, 1 Cl 3.45
Cl (0.5000, 0.5000, 0.8594)  4 Ba 3.13, 1 Cl 3.45

Calculated values
calculated volume = 41.80 A^3/atom
ΔE_f (raw) = -1.26 eV per atom
energy = -3.691 eV per atom
excess energy over the best structure of this formula in the dataset = 43.3 meV per atom

(8)
An optimized crystal structure of ErMgSc4Se8. Source: Alexandria, functional PBE-GGA.

a b c (Å): 8.0607 8.0607 8.0607
angles (deg): 59.38 59.38 59.38
Closest atoms and distances in Å follow each position.
Atoms (fractional coordinates):
Er (0.0000, 0.0000, 0.0000)  6 Se 2.81-2.85
Mg (0.3722, 0.3722, 0.3722)  4 Se 2.58-2.59
Sc (0.0011, 0.0011, 0.4900)  6 Se 2.71-2.78
Sc (0.0011, 0.4900, 0.0011)  6 Se 2.71-2.78
Sc (0.4900, 0.0011, 0.0011)  6 Se 2.71-2.78
Sc (0.6255, 0.6255, 0.6255)  4 Se 2.59-2.61
Se (0.2297, 0.7493, 0.7493)  3 Sc 2.59-2.77, 1 Er 2.85
Se (0.2413, 0.2413, 0.2413)  1 Mg 2.59, 3 Sc 2.73
Se (0.2471, 0.2471, 0.7664)  1 Mg 2.58, 2 Sc 2.71, 1 Er 2.81
Se (0.2471, 0.7664, 0.2471)  1 Mg 2.58, 2 Sc 2.71, 1 Er 2.81
Se (0.7493, 0.2297, 0.7493)  3 Sc 2.59-2.77, 1 Er 2.85
Se (0.7493, 0.7493, 0.2297)  3 Sc 2.59-2.77, 1 Er 2.85
Se (0.7569, 0.7569, 0.7569)  4 Sc 2.61-2.78
Se (0.7664, 0.2471, 0.2471)  1 Mg 2.58, 2 Sc 2.71, 1 Er 2.81

Calculated values
calculated volume = 26.08 A^3/atom
ΔE_f (raw) = -1.61 eV per atom
energy = -5.849 eV per atom

(9)
An optimized crystal structure of RbCd2TeW. Source: Alexandria, functional PBE-GGA.

a b c (Å): 5.5113 5.5113 6.5686
angles (deg): 90.00 90.00 90.00
Closest atoms and distances in Å follow each position.
Atoms (fractional coordinates):
Rb (0.0000, 0.0000, 0.0000)  2 W 3.28
Cd (0.0000, 0.5000, 0.5000)  2 W 2.76
Cd (0.5000, 0.0000, 0.5000)  2 W 2.76
Te (0.5000, 0.5000, 0.0000)  4 Rb 3.90, 8 Cd 4.29
W (0.0000, 0.0000, 0.5000)  4 Cd 2.76

Calculated values
calculated volume = 39.90 A^3/atom
ΔE_f (raw) = 1.11 eV per atom
energy = -2.667 eV per atom

(10)
An optimized crystal structure of TeBrCl. Source: Alexandria, functional PBE-GGA.

a b c (Å): 5.0558 5.0558 5.0558
angles (deg): 60.00 60.00 60.00
Closest atoms and distances in Å follow each position.
Atoms (fractional coordinates):
Te (0.0000, 0.0000, 0.0000)  4 Cl 3.10, 4 Br 3.10
Br (0.2500, 0.2500, 0.2500)  4 Te 3.10
Cl (0.7500, 0.7500, 0.7500)  4 Te 3.10

Calculated values
calculated volume = 30.46 A^3/atom
ΔE_f (raw) = 0.21 eV per atom
energy = -2.013 eV per atom
excess energy over the best structure of this formula in the dataset = 576.8 meV per atom

(11)
An optimized crystal structure of Na3Bi2Pt. Source: Alexandria, functional PBE-GGA.

a b c (Å): 9.7706 9.7706 9.7706
angles (deg): 144.48 55.22 139.16
Closest atoms and distances in Å follow each position.
Atoms (fractional coordinates):
Na (0.1898, 0.1287, 0.3185)  3 Bi 3.14-3.30
Na (0.2500, 0.2500, 0.0000)  2 Pt 2.98
Na (0.3102, 0.6287, 0.9389)  3 Bi 3.14-3.30
Na (0.6898, 0.3713, 0.0611)  3 Bi 3.14-3.30
Na (0.7500, 0.7500, 0.0000)  2 Pt 2.98
Na (0.8102, 0.8713, 0.6815)  3 Bi 3.14-3.30
Bi (0.1197, 0.6141, 0.7338)  2 Pt 2.77
Bi (0.3803, 0.1141, 0.4944)  2 Pt 2.77
Bi (0.6197, 0.8859, 0.5056)  2 Pt 2.77
Bi (0.8803, 0.3859, 0.2662)  2 Pt 2.77
Pt (0.2500, 0.7500, 0.5000)  4 Bi 2.77, 2 Na 2.98
Pt (0.7500, 0.2500, 0.5000)  4 Bi 2.77, 2 Na 2.98

Calculated values
calculated volume = 29.32 A^3/atom
energy = -3.231 eV per atom
excess energy over the best structure of this formula in the dataset = 86.8 meV per atom
energy relative to the elements = -271 meV per atom

(12)
An optimized crystal structure of Ta2Nb2Cu. Source: Alexandria, functional PBE-GGA.

a b c (Å): 7.3837 7.3837 7.3837
angles (deg): 150.59 150.59 42.07
Closest atoms and distances in Å follow each position.
Atoms (fractional coordinates):
Ta (0.2500, 0.7500, 0.5000)  4 Ta 2.65, 4 Nb 2.92
Ta (0.7500, 0.2500, 0.5000)  4 Ta 2.65, 4 Nb 2.92
Nb (0.0871, 0.0871, 0.0000)  1 Nb 2.40
Nb (0.9129, 0.9129, 0.0000)  1 Nb 2.40
Cu (0.5000, 0.5000, 0.0000)  8 Nb 2.91

Calculated values
calculated volume = 19.36 A^3/atom
energy = -8.727 eV per atom
excess energy over the best structure of this formula in the dataset = 372.1 meV per atom
energy relative to the elements = 861 meV per atom